(1)
PmNp2Fe9 | GGA-PBE | relaxed

abc: 8.867 8.867 8.867
angles: 31.79 31.79 31.79
Sites, in units of the cell vectors:
1 Pm 0.000 0.000 0.000
2 Np 0.145 0.145 0.145
3 Np 0.855 0.855 0.855
4 Fe 0.085 0.580 0.580
5 Fe 0.332 0.332 0.332
6 Fe 0.420 0.420 0.915
7 Fe 0.420 0.915 0.420
8 Fe 0.500 0.500 0.500
9 Fe 0.580 0.085 0.580
10 Fe 0.580 0.580 0.085
11 Fe 0.668 0.668 0.668
12 Fe 0.915 0.420 0.420

As for the calculated formation energy: 70 meV/atom. The calculation puts the volume at 172 Å³/cell.


(2)
PmNpFe2 | GGA-PBE | relaxed

abc: 7.375 4.378 9.576
angles: 90.00 90.00 90.00
Sites, in units of the cell vectors:
1 Pm 0.096 0.250 0.124
2 Pm 0.404 0.750 0.624
3 Pm 0.596 0.250 0.376
4 Pm 0.904 0.750 0.876
5 Np 0.060 0.250 0.625
6 Np 0.440 0.750 0.125
7 Np 0.560 0.250 0.875
8 Np 0.940 0.750 0.375
9 Fe 0.189 0.250 0.430
10 Fe 0.202 0.250 0.815
11 Fe 0.298 0.750 0.315
12 Fe 0.311 0.750 0.930
13 Fe 0.689 0.250 0.070
14 Fe 0.702 0.250 0.685
15 Fe 0.798 0.750 0.185
16 Fe 0.811 0.750 0.570

As for the calculated formation energy: 8 meV/atom. The calculation puts the volume at 309 Å³/cell. The calculation puts the energy above the most stable polymorph in this dataset at 0.000 eV per formula unit.


(3)
PmNpFe2 | GGA-PBE | relaxed

abc: 3.277 3.277 7.031
angles: 90.00 90.00 90.00
Sites, in units of the cell vectors:
1 Pm 0.000 0.000 0.000
2 Np 0.000 0.000 0.500
3 Fe 0.500 0.500 0.309
4 Fe 0.500 0.500 0.691

As for the calculated formation energy: 134 meV/atom. The calculation puts the volume at 75 Å³/cell. The calculation puts the energy above the most stable polymorph in this dataset at 0.506 eV per formula unit.